# Tb2HgC, optimized geometry, DFT GGA-PBE
data_Tb2HgC
_space_group_name_H-M_alt 'R 3 m'
_space_group_IT_number 160
_space_group_name_Hall 'R 3 -2"'
_cell_length_a 3.6196
_cell_length_b 3.6196
_cell_length_c 23.6966
_cell_angle_alpha 90.00
_cell_angle_beta 90.00
_cell_angle_gamma 120.00
loop_
_atom_site_label
_atom_site_fract_x
_atom_site_fract_y
_atom_site_fract_z
Tb1 0.0000 0.0000 0.0000
Tb2 0.0000 0.0000 0.2181
Hg1 0.0000 0.0000 0.7767
C1 0.0000 0.0000 0.6101
# V: 89.6 Å³/f.u.

***

# Tb4HgC, optimized geometry, DFT GGA-PBE
data_Tb4HgC
_space_group_name_H-M_alt 'C 1 2/c 1'
_space_group_IT_number 15
_cell_length_a 8.411
_cell_length_b 14.007
_cell_length_c 6.210
_cell_angle_alpha 90.00
_cell_angle_beta 119.41
_cell_angle_gamma 90.00
loop_
_space_group_symop_operation_xyz
'x,y,z'
'-x,-y,-z'
'-x,y,-z+1/2'
'x,-y,z+1/2'
'x+1/2,y+1/2,z'
'-x+1/2,-y+1/2,-z'
'-x+1/2,y+1/2,-z+1/2'
'x+1/2,-y+1/2,z+1/2'
loop_
_atom_site_label
_atom_site_fract_x
_atom_site_fract_y
_atom_site_fract_z
Tb1 0.135 0.200 0.141
Tb2 0.213 0.049 0.687
Hg1 0.000 0.384 0.750
C1 0.000 0.071 0.250
# V: 159.3 Å³/f.u.

***

Number 1: calculated density 9.83 g/cm3, uncorrected energy -60.70 eV per cell. Number 2: calculated density 8.84 g/cm3, uncorrected energy -116.83 eV per cell.